DFT (PBE-GGA) results for crystalline V3CdNi at its relaxed geometry.

The space group is Pm-3m (No. 221) and the conventional cell measures 4.3993, 4.3993 and 4.3993 Å, with angles of 90.00, 90.00 and 90.00 degrees. The asymmetric unit holds V at (0.0000, 0.0000, 0.5000), Cd at (0.5000, 0.5000, 0.5000) and Ni at (0.0000, 0.0000, 0.0000).

The energy of formation from the pure elements comes out at 0.81 eV/atom. Its total magnetic moment is 1.209 μB/f.u. For the final energy, the calculation gives -30.0 eV for the cell shown. The density of states at the Fermi level is 1.38 states/eV per atom.